CsBaBiOs | PBE-GGA | relaxed

Results
SG = Cm
V = 46.036 A^3/atom
Excess energy over the best structure of this formula in the dataset = 0.033 eV per atom
Total magnetic moment = 0.000 μB per atom
Energy of formation = 0.329 eV per atom
D(E_F) = 2.1 states/eV/f.u.

Cell and atoms, written as CIF:
```
data_CsBaBiOs
_space_group_name_H-M_alt 'P 1'
_space_group_IT_number 1
_space_group_name_Hall 'P 1'
_cell_length_a 4.591
_cell_length_b 4.591
_cell_length_c 10.089
_cell_angle_alpha 90.16
_cell_angle_beta 90.16
_cell_angle_gamma 60.01
loop_
_atom_site_label
_atom_site_fract_x
_atom_site_fract_y
_atom_site_fract_z
Cs1 0.000 0.000 0.000
Ba1 0.335 0.335 0.545
Bi1 0.668 0.668 0.286
Os1 0.001 0.001 0.353
```